[1]
Material: Rb2MnReN
Method: DFT, PBE-GGA
State: relaxed

Summary:
Total moment: 6.31 μB/f.u.
DOS(E_F): 1.081 states/eV/atom
Energy: -27.2 eV for the cell shown

a b c (Å): 6.329 6.329 3.833
angles (deg): 90.00 90.00 90.00
Space group P4/mmm (No. 123)
Asymmetric unit:
Rb1 0.000 0.500 0.000 [2 per cell]
Mn1 0.000 0.000 0.500 [1 per cell]
Re1 0.500 0.500 0.500 [1 per cell]
N1 0.500 0.500 0.000 [1 per cell]

---

[2]
Material: RbMnSN2
Method: DFT, PBE-GGA
State: relaxed

Summary:
Total moment: 8.31 μB/f.u.
DOS(E_F): 0.521 states/eV/atom
Energy: -18.4 eV for the cell shown

a b c (Å): 4.410 4.410 6.403
angles (deg): 90.00 90.00 90.00
Space group P4/mmm (No. 123)
Asymmetric unit:
Rb1 0.000 0.000 0.000 [1 per cell]
Mn1 0.500 0.500 0.500 [1 per cell]
S1 0.000 0.000 0.500 [1 per cell]
N1 0.000 0.500 0.000 [2 per cell]

---

[3]
Material: RbMnSeN2
Method: DFT, PBE-GGA
State: relaxed

Summary:
Total moment: 0.00 μB/f.u.
DOS(E_F): 1.294 states/eV/atom
Energy: -26.3 eV for the cell shown

a b c (Å): 3.938 3.938 5.082
angles (deg): 90.00 90.00 90.00
Space group P4/mmm (No. 123)
Asymmetric unit:
Rb1 0.000 0.000 0.000 [1 per cell]
Mn1 0.500 0.500 0.500 [1 per cell]
Se1 0.500 0.500 0.000 [1 per cell]
N1 0.000 0.500 0.500 [2 per cell]

---

[4]
Material: RbMnSeN2
Method: DFT, PBE-GGA
State: relaxed

Summary:
Total moment: 8.32 μB/f.u.
DOS(E_F): 0.603 states/eV/atom
Energy: -18.2 eV for the cell shown

a b c (Å): 4.440 4.440 6.740
angles (deg): 90.00 90.00 90.00
Space group P4/mmm (No. 123)
Asymmetric unit:
Rb1 0.000 0.000 0.000 [1 per cell]
Mn1 0.500 0.500 0.500 [1 per cell]
Se1 0.000 0.000 0.500 [1 per cell]
N1 0.000 0.500 0.000 [2 per cell]

---

[5]
Material: RbMnSnN2
Method: DFT, PBE-GGA
State: relaxed

Summary:
Total moment: 0.67 μB/f.u.
DOS(E_F): 1.224 states/eV/atom
Energy: -14.9 eV for the cell shown

a b c (Å): 4.367 4.367 6.069
angles (deg): 90.00 90.00 90.00
Space group P4/mmm (No. 123)
Asymmetric unit:
Rb1 0.000 0.000 0.000 [1 per cell]
Mn1 0.500 0.500 0.500 [1 per cell]
Sn1 0.000 0.000 0.500 [1 per cell]
N1 0.000 0.500 0.000 [2 per cell]

---

[6]
Material: Rb2MnTeN
Method: DFT, PBE-GGA
State: relaxed

Summary:
Total moment: 4.12 μB/f.u.
DOS(E_F): 0.825 states/eV/atom
Energy: -18.0 eV for the cell shown

a b c (Å): 7.006 7.006 5.082
angles (deg): 90.00 90.00 90.00
Space group P4/mmm (No. 123)
Asymmetric unit:
Rb1 0.000 0.500 0.000 [2 per cell]
Mn1 0.000 0.000 0.500 [1 per cell]
Te1 0.000 0.000 0.000 [1 per cell]
N1 0.500 0.500 0.500 [1 per cell]

---

[7]
Material: RbMnTeN2
Method: DFT, PBE-GGA
State: relaxed

Summary:
Total moment: 0.00 μB/f.u.
DOS(E_F): 1.318 states/eV/atom
Energy: -24.4 eV for the cell shown

a b c (Å): 4.078 4.078 5.295
angles (deg): 90.00 90.00 90.00
Space group P4/mmm (No. 123)
Asymmetric unit:
Rb1 0.000 0.000 0.000 [1 per cell]
Mn1 0.500 0.500 0.500 [1 per cell]
Te1 0.500 0.500 0.000 [1 per cell]
N1 0.000 0.500 0.500 [2 per cell]

---

[8]
Material: RbMnTeN2
Method: DFT, PBE-GGA
State: relaxed

Summary:
Total moment: 10.37 μB/f.u.
DOS(E_F): 0.760 states/eV/atom
Energy: -18.7 eV for the cell shown

a b c (Å): 4.961 4.961 7.423
angles (deg): 90.00 90.00 90.00
Space group P4/mmm (No. 123)
Asymmetric unit:
Rb1 0.000 0.000 0.000 [1 per cell]
Mn1 0.500 0.500 0.500 [1 per cell]
Te1 0.000 0.000 0.500 [1 per cell]
N1 0.000 0.500 0.000 [2 per cell]

---

What are the calculated volume values for these records? In order: 153.56 124.52 78.80 132.89 115.73 249.44 88.07 182.70 Å³ per cell.